The following is a DFT calculation (PBE) of crystalline BaCa2PtN at its relaxed geometry. Values from VASP.

Quantum ESPRESSO input file:
```
&SYSTEM
  ibrav = 0, nat = 5, ntyp = 4
/
ATOMIC_SPECIES
Ba 137.33 Ba.upf
Ca 40.08 Ca.upf
Pt 195.08 Pt.upf
N 14.01 N.upf
CELL_PARAMETERS angstrom
4.747 0.000 0.000
0.000 4.747 0.000
0.000 0.000 5.623
ATOMIC_POSITIONS crystal
Ba 0.000 0.000 0.000
Ca 0.000 0.500 0.500
Ca 0.500 0.000 0.500
Pt 0.500 0.500 0.000
N 0.000 0.000 0.500
```

Computed properties:
The calculation puts the uncorrected formation energy at -0.604 eV/atom. The calculated volume is 25.35 Å³ per atom.

The following is a DFT calculation (PBE) of crystalline BaCaPu4N8 at its relaxed geometry. Values from VASP.

Quantum ESPRESSO input file:
```
&SYSTEM
  ibrav = 0, nat = 14, ntyp = 4
/
ATOMIC_SPECIES
Ba 137.33 Ba.upf
Ca 40.08 Ca.upf
Pu 244.00 Pu.upf
N 14.01 N.upf
CELL_PARAMETERS angstrom
3.460 1.998 5.682
-3.460 1.998 5.682
0.000 -3.995 5.682
ATOMIC_POSITIONS crystal
Ba 0.000 0.000 0.000
Ca 0.379 0.379 0.379
Pu 0.377 0.377 0.882
Pu 0.377 0.882 0.377
Pu 0.762 0.762 0.762
Pu 0.882 0.377 0.377
N 0.138 0.138 0.546
N 0.138 0.546 0.138
N 0.154 0.154 0.154
N 0.166 0.631 0.631
N 0.546 0.138 0.138
N 0.615 0.615 0.615
N 0.631 0.166 0.631
N 0.631 0.631 0.166
```

Computed properties:
The calculation puts the uncorrected formation energy at -0.919 eV/atom. The calculated volume is 16.83 Å³ per atom.

The following is a DFT calculation (PBE) of crystalline BaCaPuN3 at its relaxed geometry. Values from VASP.

Quantum ESPRESSO input file:
```
&SYSTEM
  ibrav = 0, nat = 12, ntyp = 4
/
ATOMIC_SPECIES
Ba 137.33 Ba.upf
Ca 40.08 Ca.upf
Pu 244.00 Pu.upf
N 14.01 N.upf
CELL_PARAMETERS angstrom
3.008 -6.188 0.000
3.008 6.188 0.000
-0.918 0.000 5.996
ATOMIC_POSITIONS crystal
Ba 0.247 0.753 0.750
Ba 0.753 0.247 0.250
Ca 0.430 0.570 0.250
Ca 0.570 0.430 0.750
Pu 0.065 0.935 0.250
Pu 0.935 0.065 0.750
N 0.177 0.257 0.502
N 0.235 0.765 0.250
N 0.257 0.177 0.002
N 0.743 0.823 0.998
N 0.765 0.235 0.750
N 0.823 0.743 0.498
```

Computed properties:
The calculation puts the uncorrected formation energy at -0.907 eV/atom. The calculated volume is 18.60 Å³ per atom.

The following is a DFT calculation (PBE) of crystalline Ba2CaReN4 at its relaxed geometry. Values from VASP.

Quantum ESPRESSO input file:
```
&SYSTEM
  ibrav = 0, nat = 16, ntyp = 4
/
ATOMIC_SPECIES
Ba 137.33 Ba.upf
Ca 40.08 Ca.upf
Re 186.21 Re.upf
N 14.01 N.upf
CELL_PARAMETERS angstrom
6.156 0.000 0.000
0.000 7.885 0.000
0.000 0.000 6.576
ATOMIC_POSITIONS crystal
Ba 0.250 0.006 0.243
Ba 0.250 0.494 0.243
Ba 0.750 0.506 0.757
Ba 0.750 0.994 0.757
Ca 0.250 0.250 0.770
Ca 0.750 0.750 0.230
Re 0.250 0.750 0.801
Re 0.750 0.250 0.199
N 0.016 0.750 0.982
N 0.250 0.550 0.655
N 0.250 0.950 0.655
N 0.484 0.750 0.982
N 0.516 0.250 0.018
N 0.750 0.050 0.345
N 0.750 0.450 0.345
N 0.984 0.250 0.018
```

Computed properties:
The calculation puts the uncorrected formation energy at -0.747 eV/atom. The calculated volume is 19.95 Å³ per atom.

Which of these has the highest calculated volume? BaCa2PtN